[1]
Crystalline Pr4SiHgN at its relaxed geometry. Source: Alexandria, functional PBE-GGA.

Structure (extended XYZ):
```
14
Lattice="3.4929 -7.8699 0.0000 3.4929 7.8699 0.0000 0.0000 0.0000 6.9817" Properties=species:S:1:pos:R:3 pbc="T T T"
Pr 1.7465 3.9349 0.0000
Pr 1.7465 3.9349 3.4908
Pr 3.4929 6.7008 5.2363
Pr 3.4929 1.2854 5.2363
Pr 1.7465 -3.9349 0.0000
Pr 1.7465 -3.9349 3.4908
Pr 3.4929 -1.2854 1.7454
Pr 3.4929 -6.7008 1.7454
Si 3.4929 6.0074 1.7454
Si 3.4929 -6.0074 5.2363
Hg 3.4929 1.8062 1.7454
Hg 3.4929 -1.8062 5.2363
N 3.4929 3.8490 5.2363
N 3.4929 -3.8490 1.7454
```

Values from the calculation:
ΔE_f (raw) in meV/atom: -645



[2]
Crystalline Pr2SmHgN at its relaxed geometry. Source: Alexandria, functional PBE-GGA.

Structure (extended XYZ):
```
5
Lattice="5.0781 0.0000 0.0000 0.0000 5.0781 0.0000 0.0000 0.0000 4.9241" Properties=species:S:1:pos:R:3 pbc="T T T"
Pr 0.0000 2.5390 0.0000
Pr 2.5390 0.0000 0.0000
Sm 0.0000 0.0000 2.4620
Hg 2.5390 2.5390 2.4620
N 0.0000 0.0000 0.0000
```

Values from the calculation:
ΔE_f (raw) in meV/atom: -753



[3]
Crystalline Pr2Sm4Hg3N2 at its relaxed geometry. Source: Alexandria, functional PBE-GGA.

Structure (extended XYZ):
```
11
Lattice="-2.4484 2.4484 12.2079 2.4484 -2.4484 12.2079 2.4484 2.4484 -12.2079" Properties=species:S:1:pos:R:3 pbc="T T T"
Pr 0.0000 0.0000 4.8235
Pr 0.0000 0.0000 19.5924
Sm 2.4484 0.0000 2.0476
Sm 2.4484 0.0000 10.1604
Sm 0.0000 2.4484 2.0476
Sm 0.0000 2.4484 10.1604
Hg 0.0000 0.0000 8.0148
Hg 0.0000 0.0000 12.2079
Hg 0.0000 0.0000 16.4011
N 0.0000 0.0000 2.5109
N 0.0000 0.0000 21.9050
```

Values from the calculation:
ΔE_f (raw) in meV/atom: -680



[4]
Crystalline Pr4HgTeN at its relaxed geometry. Source: Alexandria, functional PBE-GGA.

Structure (extended XYZ):
```
14
Lattice="3.5030 -8.0842 0.0000 3.5030 8.0842 0.0000 0.0000 0.0000 7.0239" Properties=species:S:1:pos:R:3 pbc="T T T"
Pr 1.7515 4.0421 0.0000
Pr 1.7515 4.0421 3.5119
Pr 3.5030 6.7424 5.2679
Pr 3.5030 1.4551 5.2679
Pr 1.7515 -4.0421 0.0000
Pr 1.7515 -4.0421 3.5119
Pr 3.5030 -1.4551 1.7560
Pr 3.5030 -6.7424 1.7560
Hg 3.5030 6.2262 1.7560
Hg 3.5030 -6.2262 5.2679
Te 3.5030 1.7714 1.7560
Te 3.5030 -1.7714 5.2679
N 3.5030 4.1901 5.2679
N 3.5030 -4.1901 1.7560
```

Values from the calculation:
ΔE_f (raw) in meV/atom: -871



[5]
Crystalline HgPtN2 at its relaxed geometry. Source: Alexandria, functional PBE-GGA.

Structure (extended XYZ):
```
8
Lattice="-2.8445 2.8445 3.8046 2.8445 -2.8445 3.8046 2.8445 2.8445 -3.8046" Properties=species:S:1:pos:R:3 pbc="T T T"
Hg 0.0000 0.0000 0.0000
Hg 0.0000 2.8445 1.9023
Pt 2.8445 0.0000 1.9023
Pt 0.0000 0.0000 3.8046
N 1.4223 1.8221 -0.9512
N 3.8669 1.4223 0.9512
N 1.4223 1.0224 2.8535
N -1.0224 1.4223 4.7558
```

Values from the calculation:
ΔE_f (raw) in meV/atom: 1217



[6]
Crystalline HgPtN2 at its relaxed geometry. Source: Alexandria, functional PBE-GGA.

Structure (extended XYZ):
```
4
Lattice="1.6779 0.9687 6.3116 -1.6779 0.9687 6.3116 0.0000 -1.9374 6.3116" Properties=species:S:1:pos:R:3 pbc="T T T"
Hg 0.0000 0.0000 0.0000
Pt 0.0000 0.0000 9.4674
N 0.0000 0.0000 7.5989
N 0.0000 0.0000 11.3359
```

Values from the calculation:
ΔE_f (raw) in meV/atom: 1359



[7]
Crystalline Hg3PtN at its relaxed geometry. Source: Alexandria, functional PBE-GGA.

Structure (extended XYZ):
```
5
Lattice="5.3367 0.0000 0.0000 0.0000 5.3367 0.0000 0.0000 0.0000 5.3367" Properties=species:S:1:pos:R:3 pbc="T T T"
Hg 0.0000 0.0000 2.6684
Hg 0.0000 2.6684 0.0000
Hg 2.6684 0.0000 0.0000
Pt 0.0000 0.0000 0.0000
N 2.6684 2.6684 2.6684
```

Values from the calculation:
ΔE_f (raw) in meV/atom: 979
Offset from the most stable computed form in meV per atom: 36



[8]
Crystalline Hg3PtN at its relaxed geometry. Source: Alexandria, functional PBE-GGA.

Structure (extended XYZ):
```
5
Lattice="4.6154 0.0000 0.0000 0.0000 4.6154 0.0000 0.0000 0.0000 4.6154" Properties=species:S:1:pos:R:3 pbc="T T T"
Hg 0.0000 0.0000 2.3077
Hg 0.0000 2.3077 0.0000
Hg 2.3077 0.0000 0.0000
Pt 2.3077 2.3077 2.3077
N 0.0000 0.0000 0.0000
```

Values from the calculation:
ΔE_f (raw) in meV/atom: 942
Offset from the most stable computed form in meV per atom: 0



[9]
Crystalline HgPt2N at its relaxed geometry. Source: Alexandria, functional PBE-GGA.

Structure (extended XYZ):
```
8
Lattice="-2.5357 2.5357 6.0617 2.5357 -2.5357 6.0617 2.5357 2.5357 -6.0617" Properties=species:S:1:pos:R:3 pbc="T T T"
Hg 0.0000 0.0000 0.0000
Hg 0.0000 2.5357 3.0308
Pt 1.2679 -0.3297 4.5462
Pt 2.2060 1.2679 1.5154
Pt 1.2679 2.8654 -1.5154
Pt 0.3297 1.2679 7.5771
N 2.5357 0.0000 3.0308
N 0.0000 0.0000 6.0617
```

Values from the calculation:
ΔE_f (raw) in meV/atom: 475
Offset from the most stable computed form in meV per atom: 0



[10]
Crystalline HgPtN2 at its relaxed geometry. Source: Alexandria, functional PBE-GGA.

Structure (extended XYZ):
```
4
Lattice="1.6276 0.9397 6.1116 -1.6276 0.9397 6.1116 0.0000 -1.8794 6.1116" Properties=species:S:1:pos:R:3 pbc="T T T"
Hg 0.0000 0.0000 0.0000
Pt 0.0000 0.0000 9.1674
N 0.0000 0.0000 2.1120
N 0.0000 0.0000 16.2228
```

Values from the calculation:
ΔE_f (raw) in meV/atom: 727



[11]
Crystalline HgPt2N at its relaxed geometry. Source: Alexandria, functional PBE-GGA.

Structure (extended XYZ):
```
4
Lattice="0.0000 3.1502 3.1502 3.1502 0.0000 3.1502 3.1502 3.1502 0.0000" Properties=species:S:1:pos:R:3 pbc="T T T"
Hg 0.0000 0.0000 0.0000
Pt 1.5751 1.5751 1.5751
Pt 4.7252 4.7252 4.7252
N 3.1502 3.1502 3.1502
```

Values from the calculation:
ΔE_f (raw) in meV/atom: 1385
Offset from the most stable computed form in meV per atom: 910



[12]
Crystalline RbHgPtN2 at its relaxed geometry. Source: Alexandria, functional PBE-GGA.

Structure (extended XYZ):
```
5
Lattice="4.2842 0.0000 0.0000 0.0000 4.2842 0.0000 0.0000 0.0000 5.4813" Properties=species:S:1:pos:R:3 pbc="T T T"
Rb 0.0000 0.0000 0.0000
Hg 2.1421 2.1421 0.0000
Pt 2.1421 2.1421 2.7407
N 0.0000 2.1421 2.7407
N 2.1421 0.0000 2.7407
```

Values from the calculation:
ΔE_f (raw) in meV/atom: 1097



[13]
Crystalline HgPtRhN2 at its relaxed geometry. Source: Alexandria, functional PBE-GGA.

Structure (extended XYZ):
```
5
Lattice="3.7791 0.0000 0.0000 0.0000 3.7791 0.0000 0.0000 0.0000 7.2142" Properties=species:S:1:pos:R:3 pbc="T T T"
Hg 0.0000 0.0000 0.0000
Pt 0.0000 0.0000 3.6071
Rh 1.8896 1.8896 0.0000
N 0.0000 1.8896 3.6071
N 1.8896 0.0000 3.6071
```

Values from the calculation:
ΔE_f (raw) in meV/atom: 1446



[14]
Crystalline HgRu2PtN at its relaxed geometry. Source: Alexandria, functional PBE-GGA.

Structure (extended XYZ):
```
5
Lattice="5.1137 0.0000 0.0000 0.0000 5.1137 0.0000 0.0000 0.0000 5.0549" Properties=species:S:1:pos:R:3 pbc="T T T"
Hg 0.0000 0.0000 0.0000
Ru 0.0000 2.5568 0.0000
Ru 2.5568 0.0000 0.0000
Pt 0.0000 0.0000 2.5275
N 2.5568 2.5568 2.5275
```

Values from the calculation:
ΔE_f (raw) in meV/atom: 3103



[15]
Crystalline HgPtSN2 at its relaxed geometry. Source: Alexandria, functional PBE-GGA.

Structure (extended XYZ):
```
5
Lattice="3.7404 0.0000 0.0000 0.0000 3.7404 0.0000 0.0000 0.0000 8.6722" Properties=species:S:1:pos:R:3 pbc="T T T"
Hg 0.0000 0.0000 0.0000
Pt 1.8702 1.8702 4.3361
S 1.8702 1.8702 0.0000
N 0.0000 1.8702 4.3361
N 1.8702 0.0000 4.3361
```

Values from the calculation:
ΔE_f (raw) in meV/atom: 1060
Offset from the most stable computed form in meV per atom: 0



[16]
Crystalline HgPtSN2 at its relaxed geometry. Source: Alexandria, functional PBE-GGA.

Structure (extended XYZ):
```
5
Lattice="3.9344 0.0000 0.0000 0.0000 3.9344 0.0000 0.0000 0.0000 5.6979" Properties=species:S:1:pos:R:3 pbc="T T T"
Hg 0.0000 0.0000 0.0000
Pt 1.9672 1.9672 2.8490
S 0.0000 0.0000 2.8490
N 0.0000 1.9672 0.0000
N 1.9672 0.0000 0.0000
```

Values from the calculation:
ΔE_f (raw) in meV/atom: 2305
Offset from the most stable computed form in meV per atom: 1245



[17]
Crystalline HgPtSe2N at its relaxed geometry. Source: Alexandria, functional PBE-GGA.

Structure (extended XYZ):
```
5
Lattice="5.3008 0.0000 0.0000 0.0000 5.3008 0.0000 0.0000 0.0000 4.0002" Properties=species:S:1:pos:R:3 pbc="T T T"
Hg 0.0000 0.0000 0.0000
Pt 2.6504 2.6504 2.0001
Se 0.0000 2.6504 0.0000
Se 2.6504 0.0000 0.0000
N 0.0000 0.0000 2.0001
```

Values from the calculation:
ΔE_f (raw) in meV/atom: 1637
Offset from the most stable computed form in meV per atom: 1096



[18]
Crystalline HgPtSe2N at its relaxed geometry. Source: Alexandria, functional PBE-GGA.

Structure (extended XYZ):
```
5
Lattice="5.3181 0.0000 0.0000 0.0000 5.3181 0.0000 0.0000 0.0000 3.6838" Properties=species:S:1:pos:R:3 pbc="T T T"
Hg 0.0000 0.0000 0.0000
Pt 2.6590 2.6590 1.8419
Se 0.0000 2.6590 1.8419
Se 2.6590 0.0000 1.8419
N 2.6590 2.6590 0.0000
```

Values from the calculation:
ΔE_f (raw) in meV/atom: 540
Offset from the most stable computed form in meV per atom: 0



[19]
Crystalline HgTe2PtN at its relaxed geometry. Source: Alexandria, functional PBE-GGA.

Structure (extended XYZ):
```
5
Lattice="5.7417 0.0000 0.0000 0.0000 5.7417 0.0000 0.0000 0.0000 3.6743" Properties=species:S:1:pos:R:3 pbc="T T T"
Hg 0.0000 0.0000 0.0000
Te 0.0000 2.8708 1.8371
Te 2.8708 0.0000 1.8371
Pt 2.8708 2.8708 1.8371
N 2.8708 2.8708 0.0000
```

Values from the calculation:
ΔE_f (raw) in meV/atom: 448
Offset from the most stable computed form in meV per atom: 0



[20]
Crystalline HgTe2PtN at its relaxed geometry. Source: Alexandria, functional PBE-GGA.

Structure (extended XYZ):
```
5
Lattice="5.6624 0.0000 0.0000 0.0000 5.6624 0.0000 0.0000 0.0000 3.9358" Properties=species:S:1:pos:R:3 pbc="T T T"
Hg 0.0000 0.0000 0.0000
Te 0.0000 2.8312 0.0000
Te 2.8312 0.0000 0.0000
Pt 2.8312 2.8312 1.9679
N 0.0000 0.0000 1.9679
```

Values from the calculation:
ΔE_f (raw) in meV/atom: 1505
Offset from the most stable computed form in meV per atom: 1057



Q: Which D(E_F) values were calculated for the entries above? A: 7.90, 5.40, 13.52, 9.27, 5.70, 1.92, 1.31, 2.32, 4.21, 0.00, 4.01, 2.71, 4.88, 8.87, 1.76, 3.11, 3.87, 4.64, 4.48, 4.20, in states/eV/cell.
Q: Which raw total energy values were calculated for the entries above? A: -5.38, -5.33, -4.86, -5.28, -4.53, -4.39, -2.08, -2.11, -4.70, -5.02, -3.79, -3.70, -4.62, -3.54, -4.36, -3.12, -2.69, -3.79, -3.74, -2.68, in eV per atom.